Record 1
The following is a meta-GGA SCAN calculation of a PBEsol-optimized structure of NaLiSCl2, from Alexandria.

Geometry as CIF:
```
data_NaLiSCl2
_space_group_name_H-M_alt 'P 1'
_space_group_IT_number 1
_cell_length_a 5.0637
_cell_length_b 5.1543
_cell_length_c 5.1543
_cell_angle_alpha 90.00
_cell_angle_beta 90.00
_cell_angle_gamma 90.00
loop_
_space_group_symop_operation_xyz
'x,y,z'
loop_
_atom_site_label
_atom_site_type_symbol
_atom_site_fract_x
_atom_site_fract_y
_atom_site_fract_z
Na1 Na 0.0000 0.0000 0.0000
S1 S 0.5000 0.0000 0.0000
Li1 Li 0.5000 0.5000 0.5000
Cl1 Cl 0.0000 0.0000 0.5000
Cl2 Cl 0.0000 0.5000 0.0000
```

Summary:
size of the total moment	2.0	μB/cell
calculated density	1.6	g cm⁻³
formation energy (no corrections)	-59.5	kJ/mol of atoms


Record 2
The following is a meta-GGA SCAN calculation of a PBEsol-optimized structure of Na2LiSmCl6, from Alexandria.

Geometry as CIF:
```
data_Na2LiSmCl6
_space_group_name_H-M_alt 'P 1'
_space_group_IT_number 1
_cell_length_a 7.2131
_cell_length_b 7.2131
_cell_length_c 7.2131
_cell_angle_alpha 60.00
_cell_angle_beta 60.00
_cell_angle_gamma 60.00
loop_
_space_group_symop_operation_xyz
'x,y,z'
loop_
_atom_site_label
_atom_site_type_symbol
_atom_site_fract_x
_atom_site_fract_y
_atom_site_fract_z
Na1 Na 0.7500 0.7500 0.7500
Na2 Na 0.2500 0.2500 0.2500
Li1 Li 0.5000 0.5000 0.5000
Sm1 Sm 0.0000 0.0000 0.0000
Cl1 Cl 0.7414 0.2586 0.2586
Cl2 Cl 0.7414 0.7414 0.2586
Cl3 Cl 0.2586 0.7414 0.7414
Cl4 Cl 0.7414 0.2586 0.7414
Cl5 Cl 0.2586 0.7414 0.2586
Cl6 Cl 0.2586 0.2586 0.7414
```

Summary:
size of the total moment	0.0	μB/cell
calculated density	2.6	g cm⁻³
formation energy (no corrections)	-200.5	kJ/mol of atoms


Record 3
The following is a meta-GGA SCAN calculation of a PBEsol-optimized structure of LiNb3Cl8, from Alexandria.

Geometry as CIF:
```
data_LiNb3Cl8
_space_group_name_H-M_alt 'P 1'
_space_group_IT_number 1
_cell_length_a 9.1946
_cell_length_b 9.1946
_cell_length_c 13.3883
_cell_angle_alpha 90.00
_cell_angle_beta 90.00
_cell_angle_gamma 91.81
loop_
_space_group_symop_operation_xyz
'x,y,z'
loop_
_atom_site_label
_atom_site_type_symbol
_atom_site_fract_x
_atom_site_fract_y
_atom_site_fract_z
Li1 Li 0.4168 0.5832 0.4135
Li2 Li 0.0832 0.9168 0.9135
Li3 Li 0.5832 0.4168 0.5865
Li4 Li 0.9168 0.0832 0.0865
Nb1 Nb 0.0921 0.9079 0.6228
Nb2 Nb 0.6610 0.6610 0.0000
Nb3 Nb 0.8390 0.8390 0.5000
Nb4 Nb 0.3390 0.3390 0.0000
Nb5 Nb 0.1610 0.1610 0.5000
Nb6 Nb 0.6246 0.3754 0.0913
Nb7 Nb 0.8754 0.1246 0.5913
Nb8 Nb 0.3754 0.6246 0.9087
Nb9 Nb 0.1246 0.8754 0.4087
Nb10 Nb 0.5921 0.4079 0.8772
Nb11 Nb 0.9079 0.0921 0.3772
Nb12 Nb 0.4079 0.5921 0.1228
Cl1 Cl 0.2010 0.4225 0.1433
Cl2 Cl 0.8657 0.8657 0.0000
Cl3 Cl 0.6343 0.6343 0.5000
Cl4 Cl 0.1343 0.1343 0.0000
Cl5 Cl 0.3657 0.3657 0.5000
Cl6 Cl 0.7923 0.2077 0.2086
Cl7 Cl 0.7077 0.2923 0.7086
Cl8 Cl 0.2077 0.7923 0.7914
Cl9 Cl 0.2923 0.7077 0.2914
Cl10 Cl 0.4611 0.5389 0.7461
Cl11 Cl 0.0389 0.9611 0.2461
Cl12 Cl 0.5389 0.4611 0.2539
Cl13 Cl 0.2990 0.0775 0.6433
Cl14 Cl 0.3351 0.0419 0.3914
Cl15 Cl 0.0775 0.2990 0.3567
Cl16 Cl 0.4225 0.2010 0.8567
Cl17 Cl 0.7010 0.9225 0.3567
Cl18 Cl 0.7990 0.5775 0.8567
Cl19 Cl 0.9225 0.7010 0.6433
Cl20 Cl 0.5775 0.7990 0.1433
Cl21 Cl 0.0419 0.3351 0.6086
Cl22 Cl 0.1649 0.4581 0.8914
Cl23 Cl 0.7571 0.2429 0.9616
Cl24 Cl 0.4581 0.1649 0.1086
Cl25 Cl 0.6649 0.9581 0.6086
Cl26 Cl 0.8351 0.5419 0.1086
Cl27 Cl 0.9581 0.6649 0.3914
Cl28 Cl 0.5419 0.8351 0.8914
Cl29 Cl 0.2571 0.7429 0.5384
Cl30 Cl 0.2429 0.7571 0.0384
Cl31 Cl 0.7429 0.2571 0.4616
Cl32 Cl 0.9611 0.0389 0.7539
```

Summary:
size of the total moment	0.0	μB/cell
calculated density	3.3	g cm⁻³
formation energy (no corrections)	-146.8	kJ/mol of atoms


Record 4
The following is a meta-GGA SCAN calculation of a PBEsol-optimized structure of LiNbSCl2, from Alexandria.

Geometry as CIF:
```
data_LiNbSCl2
_space_group_name_H-M_alt 'P 1'
_space_group_IT_number 1
_cell_length_a 4.7476
_cell_length_b 4.9102
_cell_length_c 4.9102
_cell_angle_alpha 90.00
_cell_angle_beta 90.00
_cell_angle_gamma 90.00
loop_
_space_group_symop_operation_xyz
'x,y,z'
loop_
_atom_site_label
_atom_site_type_symbol
_atom_site_fract_x
_atom_site_fract_y
_atom_site_fract_z
Nb1 Nb 0.0000 0.0000 0.0000
Li1 Li 0.5000 0.5000 0.5000
S1 S 0.5000 0.0000 0.0000
Cl1 Cl 0.0000 0.0000 0.5000
Cl2 Cl 0.0000 0.5000 0.0000
```

Summary:
size of the total moment	0.0	μB/cell
calculated density	2.9	g cm⁻³
formation energy (no corrections)	-94.4	kJ/mol of atoms


Record 5
The following is a meta-GGA SCAN calculation of a PBEsol-optimized structure of Rb2LiNdCl6, from Alexandria.

Geometry as CIF:
```
data_Rb2LiNdCl6
_space_group_name_H-M_alt 'P 1'
_space_group_IT_number 1
_cell_length_a 7.3625
_cell_length_b 7.3625
_cell_length_c 7.3625
_cell_angle_alpha 60.00
_cell_angle_beta 60.00
_cell_angle_gamma 60.00
loop_
_space_group_symop_operation_xyz
'x,y,z'
loop_
_atom_site_label
_atom_site_type_symbol
_atom_site_fract_x
_atom_site_fract_y
_atom_site_fract_z
Li1 Li 0.0000 0.0000 0.0000
Nd1 Nd 0.5000 0.5000 0.5000
Rb1 Rb 0.2500 0.2500 0.2500
Rb2 Rb 0.7500 0.7500 0.7500
Cl1 Cl 0.7582 0.2418 0.2418
Cl2 Cl 0.2418 0.2418 0.7582
Cl3 Cl 0.2418 0.7582 0.2418
Cl4 Cl 0.2418 0.7582 0.7582
Cl5 Cl 0.7582 0.7582 0.2418
Cl6 Cl 0.7582 0.2418 0.7582
```

Summary:
size of the total moment	0.0	μB/cell
calculated density	3.1	g cm⁻³
formation energy (no corrections)	-223.9	kJ/mol of atoms


Record 6
The following is a meta-GGA SCAN calculation of a PBEsol-optimized structure of LiSCl2O, from Alexandria.

Geometry as CIF:
```
data_LiSCl2O
_space_group_name_H-M_alt 'P 1'
_space_group_IT_number 1
_cell_length_a 4.7164
_cell_length_b 4.7164
_cell_length_c 4.7762
_cell_angle_alpha 90.00
_cell_angle_beta 90.00
_cell_angle_gamma 90.00
loop_
_space_group_symop_operation_xyz
'x,y,z'
loop_
_atom_site_label
_atom_site_type_symbol
_atom_site_fract_x
_atom_site_fract_y
_atom_site_fract_z
S1 S 0.0000 0.0000 0.0000
Li1 Li 0.0000 0.0000 0.5000
O1 O 0.5000 0.5000 0.5000
Cl1 Cl 0.0000 0.5000 0.0000
Cl2 Cl 0.5000 0.0000 0.0000
```

Summary:
size of the total moment	1.7	μB/cell
calculated density	2.0	g cm⁻³
formation energy (no corrections)	10.9	kJ/mol of atoms